This record from OQMD describes crystalline In2PdO4 at its relaxed geometry. The functional is PBE.

The structure in extended XYZ format:
```
28
Lattice="-0.3106 5.3024 -1.5250 -0.3895 -1.5421 -5.2825 -11.2812 -0.3888 0.9454" Properties=species:S:1:pos:R:3 pbc="T T T"
O -8.7669 3.3795 -1.6989
O -11.7713 3.0035 -3.8481
O -3.1374 3.5302 -2.3211
O -8.8439 -0.1588 -3.5410
O -8.6558 0.7268 -0.9327
O -8.9550 2.4939 -4.3072
O -3.3254 2.6447 -4.9294
O -5.7854 0.4313 -0.6579
O -0.2099 0.3679 -2.0140
O -3.0263 0.8775 -1.5549
O -3.2143 -0.0080 -4.1632
O -6.1959 2.9401 -5.2042
O -0.4565 0.4814 -4.9096
O -11.5248 2.8900 -0.9525
O -6.0319 0.5448 -3.5536
O -5.9493 2.8266 -2.3085
In -10.0030 0.8187 -5.1843
In -9.9618 4.2113 -3.2971
In -2.0194 -0.8399 -2.5650
In -4.1783 1.7422 -3.1596
In -7.8441 -1.7634 -4.5897
In -7.8029 1.6292 -2.7025
In -1.9782 2.5527 -0.6778
In -4.1371 5.1348 -1.2724
Pd -0.3500 1.8801 -3.4037
Pd -5.8353 -0.9655 -2.1686
Pd 0.0000 0.0000 0.0000
Pd -5.7959 2.4568 -0.2898
```

Polymorph energy (0 for the lowest one): 35 meV per atom
Space group: No. 61

---

This record from OQMD describes crystalline InPd2O4 at its relaxed geometry. The functional is PBE.

The structure in extended XYZ format:
```
14
Lattice="2.2790 4.5879 -3.8078 1.7286 -6.0731 -0.9334 -5.9604 1.8609 -1.3240" Properties=species:S:1:pos:R:3 pbc="T T T"
O 0.4236 -1.1807 -3.5691
O -0.5291 2.1678 -3.0530
O -3.5719 -2.1619 -2.3420
O -1.6744 -0.2732 -1.3297
O -2.5508 -0.1033 -4.0505
O -3.2025 3.0037 -3.6479
O -0.5975 -3.2393 -1.8606
O -4.3478 0.5627 -1.9246
Pd -1.5742 -1.6713 -2.9555
Pd -2.4385 1.3652 -2.4888
Pd 1.4060 -2.6018 -2.2935
Pd -1.2990 3.6592 -4.3927
In 0.0000 0.0000 0.0000
In 1.0834 0.8696 -3.6536
```

Space group: No. 227
Total energy: -5.25 eV/atom

---

Copy entry 1 word for word.
This record from OQMD describes crystalline In2PdO4 at its relaxed geometry. The functional is PBE.

The structure in extended XYZ format:
```
28
Lattice="-0.3106 5.3024 -1.5250 -0.3895 -1.5421 -5.2825 -11.2812 -0.3888 0.9454" Properties=species:S:1:pos:R:3 pbc="T T T"
O -8.7669 3.3795 -1.6989
O -11.7713 3.0035 -3.8481
O -3.1374 3.5302 -2.3211
O -8.8439 -0.1588 -3.5410
O -8.6558 0.7268 -0.9327
O -8.9550 2.4939 -4.3072
O -3.3254 2.6447 -4.9294
O -5.7854 0.4313 -0.6579
O -0.2099 0.3679 -2.0140
O -3.0263 0.8775 -1.5549
O -3.2143 -0.0080 -4.1632
O -6.1959 2.9401 -5.2042
O -0.4565 0.4814 -4.9096
O -11.5248 2.8900 -0.9525
O -6.0319 0.5448 -3.5536
O -5.9493 2.8266 -2.3085
In -10.0030 0.8187 -5.1843
In -9.9618 4.2113 -3.2971
In -2.0194 -0.8399 -2.5650
In -4.1783 1.7422 -3.1596
In -7.8441 -1.7634 -4.5897
In -7.8029 1.6292 -2.7025
In -1.9782 2.5527 -0.6778
In -4.1371 5.1348 -1.2724
Pd -0.3500 1.8801 -3.4037
Pd -5.8353 -0.9655 -2.1686
Pd 0.0000 0.0000 0.0000
Pd -5.7959 2.4568 -0.2898
```

Polymorph energy (0 for the lowest one): 35 meV per atom
Space group: No. 61